This record from the Alexandria database describes crystalline LaSiCl3 at its relaxed geometry. The functional is PBE.

Lattice parameters (Å, degrees): 5.0801 5.0801 5.0801 90.00 90.00 90.00
With the nearest neighbours (Å) after each atom.
Positions (direct):
Si (0.0000, 0.0000, 0.0000)  6 Cl 2.54
Cl (0.0000, 0.5000, 0.0000)  2 Si 2.54
Cl (0.5000, 0.0000, 0.0000)  2 Si 2.54
Cl (0.0000, 0.0000, 0.5000)  2 Si 2.54
La (0.5000, 0.5000, 0.5000)  12 Cl 3.59

Output
**Energy**: -18.65 eV per formula unit
**Spin magnetization**: 1.52 μB per formula unit

This record from the Alexandria database describes crystalline La2Si2Cl at its relaxed geometry. The functional is PBE.

Lattice parameters (Å, degrees): 4.1588 4.1588 8.4939 89.99 104.17 120.02
With the nearest neighbours (Å) after each atom.
Positions (direct):
La (0.1593, 0.5797, 0.7391)  6 Si 3.08-3.10, 3 Cl 3.21
La (0.8407, 0.4203, 0.2609)  6 Si 3.08-3.10, 3 Cl 3.21
Si (0.3346, 0.1673, 0.5019)  3 Si 2.40
Si (0.6654, 0.8327, 0.4981)  3 Si 2.40
Cl (0.0000, 0.0000, 0.0000)  6 La 3.21

Output
**Energy**: -28.30 eV per formula unit
**Spin magnetization**: 0.00 μB per formula unit

This record from the Alexandria database describes crystalline La2Si2Cl at its relaxed geometry. The functional is PBE.

Lattice parameters (Å, degrees): 8.0833 8.0833 4.1337 90.00 90.00 90.00
With the nearest neighbours (Å) after each atom.
Positions (direct):
Si (0.8992, 0.3992, 0.5000)  1 Si 2.30
Si (0.1008, 0.6008, 0.5000)  1 Si 2.30
Si (0.6008, 0.8992, 0.5000)  1 Si 2.30
Si (0.3992, 0.1008, 0.5000)  1 Si 2.30
La (0.3141, 0.8141, 0.0000)  2 Cl 2.95, 6 Si 3.18-3.20
La (0.6859, 0.1859, 0.0000)  2 Cl 2.95, 6 Si 3.18-3.20
La (0.1859, 0.3141, 0.0000)  2 Cl 2.95, 6 Si 3.18-3.20
La (0.8141, 0.6859, 0.0000)  2 Cl 2.95, 6 Si 3.18-3.20
Cl (0.0000, 0.0000, 0.0000)  4 La 2.95
Cl (0.5000, 0.5000, 0.0000)  4 La 2.95

Output
**Energy**: -27.81 eV per formula unit
**Spin magnetization**: 0.00 μB per formula unit

This record from the Alexandria database describes crystalline LaSiCl2 at its relaxed geometry. The functional is PBE.

Lattice parameters (Å, degrees): 3.7088 5.4802 4.5612 90.00 90.00 90.00
With the nearest neighbours (Å) after each atom.
Positions (direct):
Cl (0.5000, 0.5000, 0.0000)  4 Si 2.94
Cl (0.0000, 0.0000, 0.0000)  4 La 2.94
La (0.5000, 0.0000, 0.5000)  4 Cl 2.94
Si (0.0000, 0.5000, 0.5000)  4 Cl 2.94

Output
**Energy**: -17.94 eV per formula unit
**Spin magnetization**: 0.00 μB per formula unit

Number 1: formation energy without anion corrections -0.552 eV per atom. Number 2: formation energy without anion corrections -1.150 eV per atom. Number 3: formation energy without anion corrections -1.053 eV per atom. Number 4: formation energy without anion corrections -0.973 eV per atom.